NdYHo2Er: optimized geometry, PBE.

The structure in POSCAR format:
```
NdYHo2Er
1.0
4.195 -5.732 0.000
4.195 5.732 0.000
0.000 0.000 7.212
Nd Y Ho Er
2 2 4 2
Cartesian
4.195 3.130 5.409
4.195 -3.130 1.803
4.195 0.000 1.803
4.195 0.000 5.409
1.585 0.000 0.000
1.585 0.000 3.606
6.806 0.000 0.000
6.806 0.000 3.606
4.195 3.203 1.803
4.195 -3.203 5.409
```

Values from the calculation:
**Energy relative to the elements**: 38 kJ/mol of atoms
**V**: 173.4 Å³/f.u.
**Magnetization**: 0.000 μB/f.u.
**Symmetry**: Cmcm, No. 63